Record 1
Computed, not measured: a geometry-optimized AlTcAg structure at the PBE-GGA level of DFT.

Values from the calculation:
Calculated density (g cm⁻³): 7.395
Polymorph energy (0 for the lowest one) (kJ per mole of atoms): 0.0
Total magnetization (μB/f.u.): 0.59
Space-group type: F-43m, No. 216

abc: 4.197 4.197 4.197
angles: 60.00 60.00 60.00
Atoms (fractional coordinates):
Al1 0.000 0.000 0.000
Tc1 0.250 0.250 0.250
Ag1 0.750 0.750 0.750


Record 2
Computed, not measured: a geometry-optimized AlTcAg2 structure at the PBE-GGA level of DFT.

Values from the calculation:
Calculated density (g cm⁻³): 8.902
Total DFT energy (no corrections) (eV per formula unit): -18.73
Total magnetization (μB/f.u.): 1.01
Space-group type: F-43m, No. 216

abc: 4.479 4.479 4.479
angles: 60.00 60.00 60.00
Atoms (fractional coordinates):
Al1 0.000 0.000 0.000
Tc1 0.250 0.250 0.250
Ag1 0.500 0.500 0.500
Ag2 0.750 0.750 0.750


Record 3
Computed, not measured: a geometry-optimized AlAgTe2 structure at the PBE-GGA level of DFT.

Values from the calculation:
Calculated density (g cm⁻³): 5.182
Total DFT energy (no corrections) (eV per formula unit): -14.30
Space-group type: I-42d, No. 122

abc: 7.593 7.593 7.593
angles: 130.12 130.12 73.22
Atoms (fractional coordinates):
Al1 0.000 0.000 0.000
Al2 0.750 0.250 0.500
Ag1 0.250 0.750 0.500
Ag2 0.500 0.500 0.000
Te1 0.105 0.625 0.980
Te2 0.375 0.355 0.480
Te3 0.645 0.125 0.020
Te4 0.875 0.895 0.520


Record 4
Computed, not measured: a geometry-optimized AlAgTe2 structure at the PBE-GGA level of DFT.

Values from the calculation:
Calculated density (g cm⁻³): 6.697
Total DFT energy (no corrections) (eV per formula unit): -11.55
Space-group type: F-43m, No. 216

abc: 5.152 5.152 5.152
angles: 60.00 60.00 60.00
Atoms (fractional coordinates):
Al1 0.000 0.000 0.000
Ag1 0.250 0.250 0.250
Te1 0.500 0.500 0.500
Te2 0.750 0.750 0.750